Entry 1:
{
  "formula": "NdErLuGa",
  "functional": "PBE",
  "state": "optimized geometry",
  "cell": [[-3.820, -1.558, 3.371], [1.127, -3.467, 3.885], [0.100, 1.624, 5.073]],
  "species": ["Er", "Ga", "Nd", "Lu"],
  "frac_coords": [[0.000, 0.000, 0.000], [0.250, 0.250, 0.250], [0.500, 0.500, 0.500], [0.750, 0.750, 0.750]],
  "formation_enthalpy_0k_ev_per_atom": -0.10,
  "e_tot_ev_per_cell": -17.292,
  "n_ef_per_ev_cell": 6.5,
  "sg": "F-43m"
}

Entry 2:
{
  "formula": "Ce3HfIn12",
  "functional": "PBE",
  "state": "optimized geometry",
  "cell": [[4.657, 0.000, 0.000], [0.000, 4.657, 0.000], [0.000, 0.000, 18.557]],
  "species": ["In", "In", "In", "In", "In", "In", "In", "In", "In", "In", "In", "In", "Ce", "Ce", "Ce", "Hf"],
  "frac_coords": [[0.500, 0.500, 0.500], [0.500, 0.500, 0.753], [0.500, 0.500, 0.247], [0.500, 0.000, 0.117], [0.000, 0.500, 0.883], [0.000, 0.500, 0.372], [0.500, 0.000, 0.372], [0.500, 0.000, 0.883], [0.500, 0.500, 0.000], [0.000, 0.500, 0.628], [0.500, 0.000, 0.628], [0.000, 0.500, 0.117], [0.000, 0.000, 0.243], [0.000, 0.000, 0.757], [0.000, 0.000, 0.500], [0.000, 0.000, 0.000]],
  "formation_enthalpy_0k_ev_per_atom": -0.33,
  "e_tot_ev_per_cell": -65.848,
  "n_ef_per_ev_cell": 19.1,
  "sg": "P4/mmm"
}

Entry 3:
{
  "formula": "BaErZn2",
  "functional": "PBE",
  "state": "optimized geometry",
  "cell": [[5.381, 0.000, 0.000], [2.691, 4.660, 0.000], [2.691, 1.553, 4.394]],
  "species": ["Zn", "Zn", "Ba", "Er"],
  "frac_coords": [[0.750, 0.750, 0.750], [0.250, 0.250, 0.250], [0.500, 0.500, 0.500], [0.000, 0.000, 0.000]],
  "formation_enthalpy_0k_ev_per_atom": -0.08,
  "e_tot_ev_per_cell": -9.364,
  "n_ef_per_ev_cell": 1.9,
  "sg": "Fm-3m"
}

Entry 4:
{
  "formula": "BaY2CCl",
  "functional": "PBE",
  "state": "optimized geometry",
  "cell": [[-4.682, 1.947, -0.723], [-1.651, -2.226, 4.699], [1.382, 4.252, 2.500]],
  "species": ["Ba", "Y", "Y", "C", "Cl"],
  "frac_coords": [[0.500, 0.500, 0.500], [0.000, 0.000, 0.500], [0.500, 0.000, 0.000], [0.000, 0.500, 0.000], [0.000, 0.000, 0.000]],
  "e_tot_ev_per_cell": -22.287,
  "n_ef_per_ev_cell": 5.3,
  "sg": "P4/mmm",
  "e_form_raw_mev_per_atom": 727
}

Entry 5:
{
  "formula": "Y2ZrW",
  "functional": "PBE",
  "state": "optimized geometry",
  "cell": [[-0.568, -6.951, -8.330], [0.807, -8.904, -6.173], [-2.394, -8.571, -6.232]],
  "species": ["Zr", "Y", "Y", "W"],
  "frac_coords": [[0.250, 0.250, 0.250], [0.006, 0.006, 0.006], [0.494, 0.494, 0.494], [0.750, 0.750, 0.750]],
  "formation_enthalpy_0k_ev_per_atom": 0.55,
  "e_tot_ev_per_cell": -32.223,
  "n_ef_per_ev_cell": 5.9,
  "sg": "R-3m"
}

Entry 6:
{
  "formula": "DyHfCoRu",
  "functional": "PBE",
  "state": "optimized geometry",
  "cell": [[4.643, 0.000, 0.000], [2.321, 4.021, 0.000], [2.321, 1.340, 3.791]],
  "species": ["Hf", "Ru", "Dy", "Co"],
  "frac_coords": [[0.000, 0.000, 0.000], [0.750, 0.750, 0.750], [0.500, 0.500, 0.500], [0.250, 0.250, 0.250]],
  "formation_enthalpy_0k_ev_per_atom": -0.38,
  "e_tot_ev_per_cell": -32.477,
  "n_ef_per_ev_cell": 2.2,
  "sg": "F-43m"
}

Entry 7:
{
  "formula": "Li4MgAg2",
  "functional": "PBE",
  "state": "optimized geometry",
  "cell": [[-3.208, 0.613, -2.506], [0.265, -5.532, -1.693], [-3.577, -0.104, 4.554]],
  "species": ["Li", "Li", "Li", "Li", "Mg", "Ag", "Ag"],
  "frac_coords": [[0.500, 0.000, 0.500], [0.000, 0.193, 0.193], [0.000, 0.807, 0.807], [0.500, 0.500, 0.000], [0.500, 0.500, 0.500], [0.000, 0.715, 0.285], [0.000, 0.285, 0.715]],
  "formation_enthalpy_0k_ev_per_atom": -0.10,
  "e_tot_ev_per_cell": -15.622,
  "n_ef_per_ev_cell": 2.2,
  "sg": "Cmmm"
}

Entry 8:
{
  "formula": "La6PmNd8",
  "functional": "PBE",
  "state": "optimized geometry",
  "cell": [[-9.501, -0.907, 0.382], [-4.234, -2.498, 8.190], [-5.141, 5.493, 4.588]],
  "species": ["Nd", "Nd", "Nd", "Nd", "Nd", "Nd", "Nd", "Nd", "La", "La", "La", "La", "La", "La", "Pm"],
  "frac_coords": [[0.572, 0.572, 0.285], [0.232, 0.915, 0.515], [0.915, 0.338, 0.515], [0.662, 0.768, 0.485], [0.338, 0.232, 0.515], [0.428, 0.428, 0.715], [0.085, 0.662, 0.485], [0.768, 0.085, 0.485], [0.557, 0.107, 0.073], [0.893, 0.737, 0.927], [0.263, 0.557, 0.073], [0.443, 0.893, 0.927], [0.107, 0.263, 0.073], [0.737, 0.443, 0.927], [0.000, 0.000, 0.000]],
  "formation_enthalpy_0k_ev_per_atom": 0.13,
  "e_tot_ev_per_cell": -70.481,
  "n_ef_per_ev_cell": 22.8,
  "sg": "R-3"
}